Version w
## BaTc3Os (PBE)

Data for a relaxed structure of BaTc3Os.

```
data_BaTc3Os
_chemical_formula_sum 'Ba1 Tc3 Os1'
_cell_length_a 4.804
_cell_length_b 4.804
_cell_length_c 4.804
_cell_angle_alpha 90.00
_cell_angle_beta 90.00
_cell_angle_gamma 90.00
_symmetry_space_group_name_H-M 'P m -3 m'
_symmetry_Int_Tables_number 221
_symmetry_space_group_name_Hall '-P 4 2 3'
loop_
_atom_site_label
_atom_site_fract_x
_atom_site_fract_y
_atom_site_fract_z
Ba1 0.000 0.000 0.000
Tc1 0.000 0.000 0.500
Os1 0.500 0.500 0.500
```

Computed properties:
Spin magnetization in μB per formula unit: 0.0
DOS(E_F) in states/eV/cell: 10.45

=====

Version x
## BaTc3Os (PBE)

Data for a relaxed structure of BaTc3Os.

```
data_BaTc3Os
_chemical_formula_sum 'Ba1 Tc3 Os1'
_cell_length_a 4.850
_cell_length_b 4.850
_cell_length_c 4.850
_cell_angle_alpha 90.00
_cell_angle_beta 90.00
_cell_angle_gamma 90.00
_symmetry_space_group_name_H-M 'P m -3 m'
_symmetry_Int_Tables_number 221
_symmetry_space_group_name_Hall '-P 4 2 3'
loop_
_atom_site_label
_atom_site_fract_x
_atom_site_fract_y
_atom_site_fract_z
Ba1 0.000 0.000 0.000
Tc1 0.000 0.500 0.500
Os1 0.500 0.500 0.500
```

Computed properties:
Spin magnetization in μB per formula unit: 1.7
DOS(E_F) in states/eV/cell: 10.99

=====

Top of the stability list: version x, leading by 2334 meV/atom.

=====

Version w
## BaTe3Os (PBE)

Data for a relaxed structure of BaTe3Os.

```
data_BaTe3Os
_chemical_formula_sum 'Ba1 Te3 Os1'
_cell_length_a 6.483
_cell_length_b 6.483
_cell_length_c 6.483
_cell_angle_alpha 90.00
_cell_angle_beta 90.00
_cell_angle_gamma 90.00
_symmetry_space_group_name_H-M 'P m -3 m'
_symmetry_Int_Tables_number 221
_symmetry_space_group_name_Hall '-P 4 2 3'
loop_
_atom_site_label
_atom_site_fract_x
_atom_site_fract_y
_atom_site_fract_z
Ba1 0.000 0.000 0.000
Te1 0.000 0.000 0.500
Os1 0.500 0.500 0.500
```

Computed properties:
Spin magnetization in μB per formula unit: 8.0
DOS(E_F) in states/eV/cell: 16.30

=====

Version x
## BaTe3Os (PBE)

Data for a relaxed structure of BaTe3Os.

```
data_BaTe3Os
_chemical_formula_sum 'Ba1 Te3 Os1'
_cell_length_a 5.422
_cell_length_b 5.422
_cell_length_c 5.422
_cell_angle_alpha 90.00
_cell_angle_beta 90.00
_cell_angle_gamma 90.00
_symmetry_space_group_name_H-M 'P m -3 m'
_symmetry_Int_Tables_number 221
_symmetry_space_group_name_Hall '-P 4 2 3'
loop_
_atom_site_label
_atom_site_fract_x
_atom_site_fract_y
_atom_site_fract_z
Ba1 0.000 0.000 0.000
Te1 0.000 0.500 0.500
Os1 0.500 0.500 0.500
```

Computed properties:
Spin magnetization in μB per formula unit: 2.0
DOS(E_F) in states/eV/cell: 6.10

=====

Top of the stability list: version x, leading by 1828 meV/atom.

=====

Version w
## BaTeOs3 (PBE)

Data for a relaxed structure of BaTeOs3.

```
data_BaTeOs3
_chemical_formula_sum 'Ba1 Te1 Os3'
_cell_length_a 4.962
_cell_length_b 4.962
_cell_length_c 4.962
_cell_angle_alpha 90.00
_cell_angle_beta 90.00
_cell_angle_gamma 90.00
_symmetry_space_group_name_H-M 'P m -3 m'
_symmetry_Int_Tables_number 221
_symmetry_space_group_name_Hall '-P 4 2 3'
loop_
_atom_site_label
_atom_site_fract_x
_atom_site_fract_y
_atom_site_fract_z
Ba1 0.000 0.000 0.000
Te1 0.500 0.500 0.500
Os1 0.000 0.500 0.500
```

Computed properties:
Spin magnetization in μB per formula unit: 0.0
DOS(E_F) in states/eV/cell: 5.95

=====

Version x
## BaTeOs3 (PBE)

Data for a relaxed structure of BaTeOs3.

```
data_BaTeOs3
_chemical_formula_sum 'Ba1 Te1 Os3'
_cell_length_a 5.111
_cell_length_b 5.111
_cell_length_c 5.111
_cell_angle_alpha 90.00
_cell_angle_beta 90.00
_cell_angle_gamma 90.00
_symmetry_space_group_name_H-M 'P m -3 m'
_symmetry_Int_Tables_number 221
_symmetry_space_group_name_Hall '-P 4 2 3'
loop_
_atom_site_label
_atom_site_fract_x
_atom_site_fract_y
_atom_site_fract_z
Ba1 0.000 0.000 0.000
Te1 0.500 0.500 0.500
Os1 0.000 0.000 0.500
```

Computed properties:
Spin magnetization in μB per formula unit: 4.3
DOS(E_F) in states/eV/cell: 10.84

=====

Top of the stability list: version w, leading by 1889 meV/atom.

=====

Version w
## BaTeOs (PBE)

Data for a relaxed structure of BaTeOs.

```
data_BaTeOs
_chemical_formula_sum 'Ba2 Te2 Os2'
_cell_length_a 3.362
_cell_length_b 3.860
_cell_length_c 12.296
_cell_angle_alpha 90.00
_cell_angle_beta 90.00
_cell_angle_gamma 90.00
_symmetry_space_group_name_H-M 'I m m 2'
_symmetry_Int_Tables_number 44
loop_
_symmetry_equiv_pos_as_xyz
'x,y,z'
'-x,-y,z'
'-x,y,z'
'x,-y,z'
'x+1/2,y+1/2,z+1/2'
'-x+1/2,-y+1/2,z+1/2'
'-x+1/2,y+1/2,z+1/2'
'x+1/2,-y+1/2,z+1/2'
loop_
_atom_site_label
_atom_site_fract_x
_atom_site_fract_y
_atom_site_fract_z
Ba1 0.000 0.000 0.000
Te1 0.000 0.000 0.724
Os1 0.000 0.000 0.305
```

Computed properties:
Spin magnetization in μB per formula unit: 0.0
DOS(E_F) in states/eV/cell: 5.44

=====

Version x
## BaTeOs (PBE)

Data for a relaxed structure of BaTeOs.

```
data_BaTeOs
_chemical_formula_sum 'Ba1 Te1 Os1'
_cell_length_a 4.5022
_cell_length_b 4.5022
_cell_length_c 5.0543
_cell_angle_alpha 90.00
_cell_angle_beta 90.00
_cell_angle_gamma 120.00
_symmetry_space_group_name_H-M 'P -6 m 2'
_symmetry_Int_Tables_number 187
_symmetry_space_group_name_Hall 'P -6 2'
loop_
_atom_site_label
_atom_site_fract_x
_atom_site_fract_y
_atom_site_fract_z
Ba1 0.0000 0.0000 0.0000
Te1 0.6667 0.3333 0.5000
Os1 0.3333 0.6667 0.5000
```

Computed properties:
Spin magnetization in μB per formula unit: 0.0
DOS(E_F) in states/eV/cell: 2.77

=====

Top of the stability list: version x, leading by 308 meV/atom.

=====

Version w
## BaTlOs (PBE)

Data for a relaxed structure of BaTlOs.

```
data_BaTlOs
_chemical_formula_sum 'Ba1 Tl1 Os1'
_cell_length_a 4.6812
_cell_length_b 4.6812
_cell_length_c 4.8101
_cell_angle_alpha 90.00
_cell_angle_beta 90.00
_cell_angle_gamma 120.00
_symmetry_space_group_name_H-M 'P -6 m 2'
_symmetry_Int_Tables_number 187
_symmetry_space_group_name_Hall 'P -6 2'
loop_
_atom_site_label
_atom_site_fract_x
_atom_site_fract_y
_atom_site_fract_z
Ba1 0.0000 0.0000 0.0000
Tl1 0.3333 0.6667 0.5000
Os1 0.6667 0.3333 0.5000
```

Computed properties:
Spin magnetization in μB per formula unit: 0.0
DOS(E_F) in states/eV/cell: 2.75

=====

Version x
## BaTlOs (PBE)

Data for a relaxed structure of BaTlOs.

```
data_BaTlOs
_chemical_formula_sum 'Ba1 Tl1 Os1'
_cell_length_a 3.8737
_cell_length_b 3.8737
_cell_length_c 6.8104
_cell_angle_alpha 90.00
_cell_angle_beta 90.00
_cell_angle_gamma 120.00
_symmetry_space_group_name_H-M 'P 3 m 1'
_symmetry_Int_Tables_number 156
loop_
_symmetry_equiv_pos_as_xyz
'x,y,z'
'-y,x-y,z'
'-x+y,-x,z'
'-y,-x,z'
'-x+y,y,z'
'x,x-y,z'
loop_
_atom_site_label
_atom_site_fract_x
_atom_site_fract_y
_atom_site_fract_z
Ba1 0.0000 0.0000 0.0000
Tl1 0.3333 0.6667 0.5647
Os1 0.6667 0.3333 0.3195
```

Computed properties:
Spin magnetization in μB per formula unit: 0.0
DOS(E_F) in states/eV/cell: 1.41

=====

Version y
## BaTlOs (PBE)

Data for a relaxed structure of BaTlOs.

```
data_BaTlOs
_chemical_formula_sum 'Ba2 Tl2 Os2'
_cell_length_a 3.700
_cell_length_b 3.700
_cell_length_c 11.902
_cell_angle_alpha 90.00
_cell_angle_beta 90.00
_cell_angle_gamma 90.00
_symmetry_space_group_name_H-M 'I 4 m m'
_symmetry_Int_Tables_number 107
_symmetry_space_group_name_Hall 'I 4 -2'
loop_
_atom_site_label
_atom_site_fract_x
_atom_site_fract_y
_atom_site_fract_z
Ba1 0.000 0.000 0.000
Tl1 0.000 0.000 0.280
Os1 0.000 0.000 0.695
```

Computed properties:
Spin magnetization in μB per formula unit: 0.0
DOS(E_F) in states/eV/cell: 6.61

=====

Version z
## BaTlOs (PBE)

Data for a relaxed structure of BaTlOs.

```
data_BaTlOs
_chemical_formula_sum 'Ba4 Tl4 Os4'
_cell_length_a 7.080
_cell_length_b 7.080
_cell_length_c 7.080
_cell_angle_alpha 90.00
_cell_angle_beta 90.00
_cell_angle_gamma 90.00
_symmetry_space_group_name_H-M 'F -4 3 m'
_symmetry_Int_Tables_number 216
_symmetry_space_group_name_Hall 'F -4 2 3'
loop_
_atom_site_label
_atom_site_fract_x
_atom_site_fract_y
_atom_site_fract_z
Ba1 0.000 0.000 0.000
Tl1 0.000 0.000 0.500
Os1 0.250 0.250 0.750
```

Computed properties:
Spin magnetization in μB per formula unit: 0.8
DOS(E_F) in states/eV/cell: 9.99

=====

Top of the stability list: version w, leading by 67 meV/atom.

=====

Version w
## BaTlOs2 (PBE)

Data for a relaxed structure of BaTlOs2.

```
data_BaTlOs2
_chemical_formula_sum 'Ba1 Tl1 Os2'
_cell_length_a 4.305
_cell_length_b 4.959
_cell_length_c 5.585
_cell_angle_alpha 90.00
_cell_angle_beta 93.27
_cell_angle_gamma 90.00
_symmetry_space_group_name_H-M 'P 1 2/m 1'
_symmetry_Int_Tables_number 10
loop_
_symmetry_equiv_pos_as_xyz
'x,y,z'
'-x,-y,-z'
'-x,y,-z'
'x,-y,z'
loop_
_atom_site_label
_atom_site_fract_x
_atom_site_fract_y
_atom_site_fract_z
Ba1 0.000 0.000 0.000
Tl1 0.500 0.000 0.500
Os1 0.251 0.500 0.593
```

Computed properties:
Spin magnetization in μB per formula unit: 0.0
DOS(E_F) in states/eV/cell: 3.22

=====

Version x
## BaTlOs2 (PBE)

Data for a relaxed structure of BaTlOs2.

```
data_BaTlOs2
_chemical_formula_sum 'Ba1 Tl1 Os2'
_cell_length_a 4.523
_cell_length_b 4.523
_cell_length_c 4.275
_cell_angle_alpha 90.00
_cell_angle_beta 90.00
_cell_angle_gamma 90.00
_symmetry_space_group_name_H-M 'P 4/m m m'
_symmetry_Int_Tables_number 123
_symmetry_space_group_name_Hall '-P 4 2'
loop_
_atom_site_label
_atom_site_fract_x
_atom_site_fract_y
_atom_site_fract_z
Ba1 0.000 0.000 0.000
Tl1 0.500 0.500 0.000
Os1 0.000 0.500 0.500
```

Computed properties:
Spin magnetization in μB per formula unit: 2.1
DOS(E_F) in states/eV/cell: 5.09

=====

Version y
## BaTlOs2 (PBE)

Data for a relaxed structure of BaTlOs2.

```
data_BaTlOs2
_chemical_formula_sum 'Ba4 Tl4 Os8'
_cell_length_a 8.210
_cell_length_b 8.210
_cell_length_c 5.817
_cell_angle_alpha 90.00
_cell_angle_beta 90.00
_cell_angle_gamma 90.00
_symmetry_space_group_name_H-M 'I -4 2 d'
_symmetry_Int_Tables_number 122
_symmetry_space_group_name_Hall 'I -4 2bw'
loop_
_atom_site_label
_atom_site_fract_x
_atom_site_fract_y
_atom_site_fract_z
Ba1 0.000 0.000 0.000
Tl1 0.000 0.000 0.500
Os1 0.205 0.750 0.625
```

Computed properties:
Spin magnetization in μB per formula unit: 0.0
DOS(E_F) in states/eV/cell: 27.90

=====

Top of the stability list: version w, leading by 643 meV/atom.